{"formula": "LiBi2IrO8", "functional": "PBE", "state": "relaxed", "formation_energy_uncorrected_mev_per_atom": -890, "final_energy_ry_per_atom": -0.4219, "rho_g_cm3": 7.88, "spacegroup": "No. 10", "dos_at_fermi_per_ev_atom": 0.40, "cell": [[4.823, -0.022, -0.003], [0.002, 4.808, -0.005], [0.004, 0.007, 6.775]], "species": ["Li", "Bi", "Bi", "Ir", "O", "O", "O", "O", "O", "O", "O", "O"], "fractional_positions": [[0.000, 0.000, 0.500], [0.500, 0.500, 0.742], [0.500, 0.500, 0.258], [0.000, 0.000, 0.000], [0.179, 0.814, 0.222], [0.710, 0.718, 0.000], [0.821, 0.186, 0.222], [0.821, 0.186, 0.778], [0.290, 0.282, 0.000], [0.179, 0.814, 0.778], [0.700, 0.706, 0.500], [0.300, 0.294, 0.500]]}


{"formula": "LiPrBiIr", "functional": "PBE", "state": "relaxed", "final_energy_ry_per_atom": -0.3943, "delta_e_f_ev_per_atom": -0.51, "rho_g_cm3": 10.86, "spacegroup": "No. 216", "dos_at_fermi_per_ev_atom": 0.26, "cell": [[4.915, 0.000, 0.000], [2.458, 4.257, 0.000], [2.458, 1.419, 4.013]], "species": ["Pr", "Ir", "Bi", "Li"], "fractional_positions": [[0.750, 0.750, 0.750], [0.500, 0.500, 0.500], [0.250, 0.250, 0.250], [0.000, 0.000, 0.000]]}


{"formula": "LiSnBiIr", "functional": "PBE", "state": "relaxed", "final_energy_ry_per_atom": -0.3524, "delta_e_f_ev_per_atom": -0.13, "rho_g_cm3": 11.16, "spacegroup": "No. 216", "dos_at_fermi_per_ev_atom": 0.93, "cell": [[4.803, 0.000, 0.000], [2.402, 4.160, 0.000], [2.402, 1.387, 3.922]], "species": ["Ir", "Li", "Bi", "Sn"], "fractional_positions": [[0.250, 0.250, 0.250], [0.750, 0.750, 0.750], [0.000, 0.000, 0.000], [0.500, 0.500, 0.500]]}


{"formula": "LiTbBiIr", "functional": "PBE", "state": "relaxed", "final_energy_ry_per_atom": -0.3956, "delta_e_f_ev_per_atom": -0.56, "rho_g_cm3": 11.92, "spacegroup": "No. 216", "dos_at_fermi_per_ev_atom": 0.30, "cell": [[-4.340, -1.123, -1.761], [-2.701, -3.330, 2.194], [-3.978, 1.310, 2.379]], "species": ["Ir", "Tb", "Bi", "Li"], "fractional_positions": [[0.500, 0.500, 0.500], [0.750, 0.750, 0.750], [0.250, 0.250, 0.250], [0.000, 0.000, 0.000]]}


{"formula": "LiTiBi2Ir", "functional": "PBE", "state": "relaxed", "final_energy_ry_per_atom": -0.3458, "delta_e_f_ev_per_atom": 0.58, "rho_g_cm3": 8.81, "spacegroup": "No. 123", "dos_at_fermi_per_ev_atom": 1.47, "cell": [[5.301, 0.000, 0.000], [0.000, 4.459, 0.000], [0.000, 0.000, 5.301]], "species": ["Ir", "Li", "Bi", "Bi", "Ti"], "fractional_positions": [[0.000, 0.000, 0.000], [0.000, 0.500, 0.000], [0.000, 0.000, 0.500], [0.500, 0.000, 0.000], [0.500, 0.500, 0.500]]}


{"formula": "LiTmBiIr", "functional": "PBE", "state": "relaxed", "final_energy_ry_per_atom": -0.3926, "delta_e_f_ev_per_atom": -0.56, "rho_g_cm3": 12.40, "spacegroup": "No. 216", "dos_at_fermi_per_ev_atom": 0.35, "cell": [[-4.381, -0.507, -1.845], [-1.062, -3.861, -2.611], [-2.958, -3.326, 1.745]], "species": ["Ir", "Tm", "Bi", "Li"], "fractional_positions": [[0.500, 0.500, 0.500], [0.750, 0.750, 0.750], [0.250, 0.250, 0.250], [0.000, 0.000, 0.000]]}


{"formula": "LuBi2Ir", "functional": "PBE", "state": "relaxed", "final_energy_ry_per_atom": -0.3753, "delta_e_f_ev_per_atom": 0.18, "rho_g_cm3": 11.50, "spacegroup": "No. 166", "dos_at_fermi_per_ev_atom": 0.51, "cell": [[3.638, 0.000, 0.000], [1.819, 3.151, 0.000], [1.819, 1.050, 9.892]], "species": ["Ir", "Lu", "Bi", "Bi"], "fractional_positions": [[0.500, 0.500, 0.500], [0.000, 0.000, 0.000], [0.106, 0.106, 0.683], [0.894, 0.894, 0.317]]}


{"formula": "MgBi2Ir", "functional": "PBE", "state": "relaxed", "final_energy_ry_per_atom": -0.3218, "delta_e_f_ev_per_atom": 0.18, "rho_g_cm3": 8.94, "spacegroup": "No. 166", "dos_at_fermi_per_ev_atom": 0.61, "cell": [[-0.705, 0.356, 3.755], [-0.864, -3.098, 2.092], [8.448, -2.197, 3.755]], "species": ["Mg", "Ir", "Bi", "Bi"], "fractional_positions": [[0.000, 0.000, 0.000], [0.500, 0.500, 0.500], [0.108, 0.108, 0.677], [0.892, 0.892, 0.323]]}


{"formula": "Mg4BiIr", "functional": "PBE", "state": "relaxed", "final_energy_ry_per_atom": -0.2517, "delta_e_f_ev_per_atom": -0.24, "rho_g_cm3": 5.70, "spacegroup": "No. 15", "dos_at_fermi_per_ev_atom": 0.57, "cell": [[-5.630, 0.092, -1.169], [3.967, -7.618, -1.018], [-0.476, 2.256, 7.276]], "species": ["Mg", "Mg", "Mg", "Mg", "Mg", "Mg", "Mg", "Mg", "Bi", "Bi", "Ir", "Ir"], "fractional_positions": [[0.111, 0.206, 0.872], [0.769, 0.735, 0.680], [0.261, 0.666, 0.872], [0.411, 0.945, 0.680], [0.589, 0.055, 0.320], [0.739, 0.334, 0.128], [0.231, 0.265, 0.320], [0.889, 0.794, 0.128], [0.391, 0.641, 0.281], [0.609, 0.359, 0.719], [0.248, 0.998, 0.996], [0.752, 0.002, 0.004]]}


{"formula": "Mg2BiIr2", "functional": "PBE", "state": "relaxed", "relative_energy_mev_per_atom": 0, "final_energy_ry_per_atom": -0.3694, "delta_e_f_ev_per_atom": -0.07, "rho_g_cm3": 11.61, "spacegroup": "No. 127", "dos_at_fermi_per_ev_atom": 0.55, "cell": [[-6.205, -2.012, 4.001], [2.728, -7.120, 0.650], [1.456, 0.801, 2.661]], "species": ["Mg", "Mg", "Mg", "Mg", "Ir", "Ir", "Ir", "Ir", "Bi", "Bi"], "fractional_positions": [[0.139, 0.639, 0.500], [0.639, 0.861, 0.500], [0.861, 0.361, 0.500], [0.361, 0.139, 0.500], [0.345, 0.845, 0.000], [0.845, 0.655, 0.000], [0.655, 0.155, 0.000], [0.155, 0.345, 0.000], [0.000, 0.000, 0.000], [0.500, 0.500, 0.000]]}


{"formula": "Mg2BiIr", "functional": "PBE", "state": "relaxed", "final_energy_ry_per_atom": -0.3104, "delta_e_f_ev_per_atom": -0.24, "rho_g_cm3": 8.89, "spacegroup": "No. 123", "dos_at_fermi_per_ev_atom": 0.46, "cell": [[3.208, 0.000, 0.000], [0.000, 3.208, 0.000], [0.000, 0.000, 8.167]], "species": ["Mg", "Mg", "Ir", "Bi"], "fractional_positions": [[0.000, 0.000, 0.818], [0.000, 0.000, 0.182], [0.500, 0.500, 0.000], [0.500, 0.500, 0.500]]}


{"formula": "Mg2BiIr", "functional": "PBE", "state": "relaxed", "final_energy_ry_per_atom": -0.2781, "delta_e_f_ev_per_atom": 0.20, "rho_g_cm3": 8.48, "spacegroup": "No. 122", "dos_at_fermi_per_ev_atom": 0.60, "cell": [[-3.421, 1.742, -1.958], [0.542, -2.680, -3.331], [-7.081, -6.829, 1.553]], "species": ["Mg", "Mg", "Mg", "Mg", "Ir", "Ir", "Bi", "Bi"], "fractional_positions": [[0.587, 0.125, 0.250], [0.163, 0.625, 0.250], [0.375, 0.413, 0.750], [0.875, 0.837, 0.750], [0.500, 0.500, 0.000], [0.250, 0.750, 0.500], [0.000, 0.000, 0.000], [0.750, 0.250, 0.500]]}